# 1
DFT (PBE) results for a relaxed structure of Mn2AlIr.

Values from the calculation:
Electronic total energy = -0.5873 Ry/atom
Calculated formation energy = -0.255 eV per atom
Magnetization = 3.888 μB/cell

Structure (POSCAR):
```
Mn2AlIr
1.0
-1.8396 1.8396 3.8449
1.8396 -1.8396 3.8449
1.8396 1.8396 -3.8449
Mn Al Ir
2 1 1
Cartesian
1.8396 0.0000 1.9224 Mn
0.0000 1.8396 1.9224 Mn
0.0000 0.0000 0.0000 Al
0.0000 0.0000 3.8449 Ir
```

# 2
DFT (PBE) results for a relaxed structure of MnAl2Ir.

Values from the calculation:
Electronic total energy = -0.4834 Ry/atom
Calculated formation energy = -0.199 eV per atom
Magnetization = 1.394 μB/cell

Structure (POSCAR):
```
MnAl2Ir
1.0
1.3985 0.8074 8.3668
-1.3985 0.8074 8.3668
0.0000 -1.6148 8.3668
Mn Al Ir
1 2 1
Cartesian
0.0000 0.0000 0.0000 Mn
0.0000 0.0000 12.6773 Al
0.0000 0.0000 18.7334 Al
0.0000 0.0000 6.3773 Ir
```

# 3
DFT (PBE) results for a relaxed structure of MnAl2Ir.

Values from the calculation:
Electronic total energy = -0.4726 Ry/atom
Calculated formation energy = -0.051 eV per atom
Magnetization = 3.531 μB/cell

Structure (POSCAR):
```
MnAl2Ir
1.0
1.4731 -2.3613 0.0000
1.4731 2.3613 0.0000
0.0000 0.0000 8.5718
Mn Al Ir
1 2 1
Cartesian
0.0000 0.0000 0.0000 Mn
0.0000 0.0000 4.4008 Al
1.4731 0.0000 2.0824 Al
1.4731 0.0000 6.4178 Ir
```